This record from the Alexandria database describes TlHRuCl6 after structural relaxation. The functional is PBE.

Cell lengths 6.997, 8.143, 6.452 Å; angles 69.79, 83.20, 47.93 degrees
Each line ends with the local moment (μB).
Fractional positions:
Cl 0.940 0.444 0.306  0.11
Cl 0.068 0.568 0.680  0.01
Cl 0.306 0.572 0.189  0.07
Cl 0.347 0.012 0.779  0.10
Cl 0.571 0.019 0.301  0.02
Cl 0.704 0.155 0.658  0.10
Tl 0.896 0.174 0.087  0.02
H 0.845 0.765 0.514  0.00
Ru 0.323 0.292 0.485  1.34

Results
space group: No. 1
electronic total energy: -3.491 eV per atom
volume: 28.1 A^3/atom